No. 1
Ac4Ge2As | PBE | optimized geometry

Computed properties:
ρ ... 6.779 g/cm³
Space group ... I4/mmm, No. 139
Energy above the lowest structure with this stoichiometry ... 3.04 eV per formula unit
Magnetic moment ... 0.00 μB/f.u.
Energy relative to the elements ... -0.434 eV/atom

a = 5.7698 Å, b = 5.7698 Å, c = 9.2501 Å
α = 108.17°, β = 108.17°, γ = 90.00°
Last column: nearest neighbours and their distance in Å.
Fractional positions:
Ac: 0.0000 0.5000 0.0000  2 As 2.88
Ac: 0.8114 0.8114 0.6228  1 Ge 3.13, 1 As 3.13
As: 0.0000 0.0000 0.0000  6 Ac 2.88-3.13
Ge: 0.6231 0.6231 0.2461  1 Ac 3.13
Ac: 0.1886 0.1886 0.3772  1 Ge 3.13, 1 As 3.13
Ge: 0.3769 0.3769 0.7539  1 Ac 3.13
Ac: 0.5000 0.0000 0.0000  2 As 2.88

No. 2
Ac3InGe2Pd9 | PBE | optimized geometry

Computed properties:
ρ ... 8.840 g/cm³
Space group ... P-3m1, No. 164
Magnetic moment ... 0.00 μB/f.u.
Energy relative to the elements ... -0.619 eV/atom

a = 6.5144 Å, b = 6.5144 Å, c = 9.7057 Å
α = 90.00°, β = 90.00°, γ = 120.00°
Last column: nearest neighbours and their distance in Å.
Fractional positions:
Ac: 0.0000 0.0000 0.0000  12 Pd 3.14-3.26
Ac: 0.3333 0.6667 0.7161  9 Pd 3.27-3.34
Pd: 0.0000 0.5000 0.0000  2 Ge 2.51
Pd: 0.1422 0.2844 0.2775  1 Ge 2.39
Pd: 0.8578 0.7156 0.7225  1 Ge 2.39
Pd: 0.8578 0.1422 0.7225  1 Ge 2.39
In: 0.0000 0.0000 0.5000  6 Pd 2.69
Pd: 0.5000 0.5000 0.0000  2 Ge 2.51
Pd: 0.7156 0.8578 0.2775  1 Ge 2.39
Ge: 0.6667 0.3333 0.8283  6 Pd 2.39-2.51
Ac: 0.6667 0.3333 0.2839  9 Pd 3.27-3.34
Ge: 0.3333 0.6667 0.1717  6 Pd 2.39-2.51
Pd: 0.5000 0.0000 0.0000  2 Ge 2.51
Pd: 0.1422 0.8578 0.2775  1 Ge 2.39
Pd: 0.2844 0.1422 0.7225  1 Ge 2.39

No. 3
SrMg2SnIr | PBE | optimized geometry

Computed properties:
ρ ... 5.590 g/cm³
Space group ... P4/mmm, No. 123
Magnetic moment ... 0.00 μB/f.u.
Energy relative to the elements ... -0.309 eV/atom

a = 5.0832 Å, b = 5.0832 Å, c = 5.1408 Å
α = 90.00°, β = 90.00°, γ = 90.00°
Last column: nearest neighbours and their distance in Å.
Fractional positions:
Ir: 0.0000 0.0000 0.0000  4 Mg 2.54, 2 Sn 2.57
Mg: 0.5000 0.0000 0.0000  2 Ir 2.54
Sr: 0.5000 0.5000 0.5000  4 Sn 3.59, 8 Mg 3.61
Sn: 0.0000 0.0000 0.5000  2 Ir 2.57
Mg: 0.0000 0.5000 0.0000  2 Ir 2.54

No. 4
CrAu | PBE | optimized geometry

Computed properties:
ρ ... 7.487 g/cm³
Space group ... F-43m, No. 216
Magnetic moment ... 4.62 μB/f.u.
Energy relative to the elements ... 1.061 eV/atom

a = 4.2743 Å, b = 4.2743 Å, c = 4.2743 Å
α = 60.00°, β = 60.00°, γ = 60.00°
Last column: nearest neighbours and their distance in Å.
Fractional positions:
Au: 0.0000 0.0000 0.0000  4 Cr 2.62
Cr: 0.2500 0.2500 0.2500  4 Au 2.62

No. 5
KYMg6O8 | PBE | optimized geometry

Computed properties:
ρ ... 3.564 g/cm³
Space group ... P4/mmm, No. 123
Energy above the lowest structure with this stoichiometry ... 1.11 eV per formula unit
Formation energy without anion corrections ... -2.38 eV/atom
Magnetic moment ... 0.00 μB/f.u.

a = 4.5352 Å, b = 4.5352 Å, c = 9.1026 Å
α = 90.00°, β = 90.00°, γ = 90.00°
Last column: nearest neighbours and their distance in Å.
Fractional positions:
Mg: 0.5000 0.5000 0.0000  6 O 2.27
Mg: 0.5000 0.0000 0.7295  5 O 2.09-2.29
O: 0.5000 0.0000 0.5000  4 Mg 2.09-2.27, 2 K 2.27
O: 0.0000 0.5000 0.5000  4 Mg 2.09-2.27, 2 K 2.27
O: 0.5000 0.0000 0.0000  4 Mg 2.27-2.46, 2 Y 2.27
O: 0.5000 0.5000 0.2490  6 Mg 2.27-2.28
O: 0.0000 0.0000 0.2376  1 Y 2.16, 4 Mg 2.29, 1 K 2.39
Mg: 0.5000 0.5000 0.5000  6 O 2.27-2.28
Y: 0.0000 0.0000 0.0000  6 O 2.16-2.27
O: 0.5000 0.5000 0.7510  6 Mg 2.27-2.28
Mg: 0.5000 0.0000 0.2705  5 O 2.09-2.29
O: 0.0000 0.5000 0.0000  2 Y 2.27, 4 Mg 2.27-2.46
K: 0.0000 0.0000 0.5000  6 O 2.27-2.39
Mg: 0.0000 0.5000 0.7295  5 O 2.09-2.29
O: 0.0000 0.0000 0.7624  1 Y 2.16, 4 Mg 2.29, 1 K 2.39
Mg: 0.0000 0.5000 0.2705  5 O 2.09-2.29

No. 6
Ni4Ir | PBE | optimized geometry

Computed properties:
ρ ... 10.808 g/cm³
Space group ... Pbam, No. 55
Energy above the lowest structure with this stoichiometry ... 1.49 eV per formula unit
Magnetic moment ... 2.97 μB/f.u.
Energy relative to the elements ... 0.307 eV/atom

a = 4.0866 Å, b = 4.2966 Å, c = 7.4728 Å
α = 90.00°, β = 90.00°, γ = 90.00°
Last column: nearest neighbours and their distance in Å.
Fractional positions:
Ir: 0.0000 0.0000 0.0000  10 Ni 2.46-2.51
Ni: 0.5000 0.6725 0.6638  6 Ni 2.49-2.52, 2 Ir 2.49
Ir: 0.0000 0.5000 0.5000  10 Ni 2.46-2.51
Ni: 0.0000 0.4949 0.1643  3 Ir 2.46-2.51, 7 Ni 2.46-2.52
Ni: 0.5000 0.8275 0.1638  6 Ni 2.49-2.52, 2 Ir 2.49
Ni: 0.0000 0.9949 0.3357  3 Ir 2.46-2.51, 7 Ni 2.46-2.52
Ni: 0.5000 0.3275 0.3362  6 Ni 2.49-2.52, 2 Ir 2.49
Ni: 0.5000 0.1725 0.8362  6 Ni 2.49-2.52, 2 Ir 2.49
Ni: 0.0000 0.5051 0.8357  3 Ir 2.46-2.51, 7 Ni 2.46-2.52
Ni: 0.0000 0.0051 0.6643  3 Ir 2.46-2.51, 7 Ni 2.46-2.52